[1]
Computed, not measured: a geometry-optimized AgRh4Br structure at the PBE level of DFT.

Unit cell a=5.252 b=5.252 c=5.252 alpha=60.00 beta=60.00 gamma=60.00
Element x y z (fractional)
Ag 0.000 0.000 0.000
Rh 0.126 0.625 0.625
Rh 0.625 0.126 0.625
Rh 0.625 0.625 0.126
Rh 0.625 0.625 0.625
Br 0.250 0.250 0.250

Symmetry ... No. 216

=====

[2]
Computed, not measured: a geometry-optimized Ag2RhBr structure at the PBE level of DFT.

Unit cell a=3.219 b=4.597 c=4.923 alpha=90.00 beta=90.00 gamma=90.00
Element x y z (fractional)
Ag 0.000 0.000 0.000
Ag 0.500 0.500 0.000
Rh 0.000 0.500 0.500
Br 0.500 0.000 0.500

Excess energy over the best structure of this formula in the dataset ... 0.162 eV per atom
Symmetry ... No. 47

=====

[3]
Computed, not measured: a geometry-optimized Ag2RhBr structure at the PBE level of DFT.

Unit cell a=6.076 b=6.076 c=6.076 alpha=101.14 beta=101.14 gamma=127.84
Element x y z (fractional)
Ag 0.116 0.625 0.991
Ag 0.375 0.366 0.491
Ag 0.634 0.125 0.009
Ag 0.875 0.884 0.509
Rh 0.000 0.000 0.000
Rh 0.750 0.250 0.500
Br 0.250 0.750 0.500
Br 0.500 0.500 0.000

Excess energy over the best structure of this formula in the dataset ... 0.244 eV per atom
Symmetry ... No. 122

=====

[4]
Computed, not measured: a geometry-optimized Ag2RhBr structure at the PBE level of DFT.

Unit cell a=9.712 b=9.712 c=9.712 alpha=17.85 beta=17.85 gamma=17.85
Element x y z (fractional)
Ag 0.244 0.244 0.244
Ag 0.756 0.756 0.756
Rh 0.500 0.500 0.500
Br 0.000 0.000 0.000

Excess energy over the best structure of this formula in the dataset ... 0.104 eV per atom
Symmetry ... No. 166

=====

[5]
Computed, not measured: a geometry-optimized Ag3RhBr6 structure at the PBE level of DFT.

Unit cell a=7.026 b=6.988 c=12.532 alpha=90.00 beta=123.63 gamma=90.00
Element x y z (fractional)
Ag 0.000 0.000 0.000
Ag 0.000 0.500 0.500
Ag 0.236 0.045 0.736
Ag 0.236 0.455 0.236
Ag 0.764 0.545 0.764
Ag 0.764 0.955 0.264
Rh 0.500 0.000 0.500
Rh 0.500 0.500 0.000
Br 0.162 0.081 0.278
Br 0.162 0.419 0.778
Br 0.248 0.671 0.054
Br 0.248 0.829 0.554
Br 0.422 0.197 0.080
Br 0.422 0.303 0.580
Br 0.578 0.697 0.420
Br 0.578 0.803 0.920
Br 0.752 0.171 0.446
Br 0.752 0.329 0.946
Br 0.838 0.581 0.222
Br 0.838 0.919 0.722

Excess energy over the best structure of this formula in the dataset ... 0.021 eV per atom
Symmetry ... No. 14

=====

[6]
Computed, not measured: a geometry-optimized Ag2RhBr structure at the PBE level of DFT.

Unit cell a=3.960 b=3.960 c=4.692 alpha=90.00 beta=90.00 gamma=90.00
Element x y z (fractional)
Ag 0.000 0.500 0.000
Ag 0.500 0.000 0.000
Rh 0.000 0.000 0.500
Br 0.500 0.500 0.500

Excess energy over the best structure of this formula in the dataset ... 0.191 eV per atom
Symmetry ... No. 123

=====

[7]
Computed, not measured: a geometry-optimized Ag2RhBr structure at the PBE level of DFT.

Unit cell a=5.194 b=5.194 c=3.092 alpha=90.00 beta=90.00 gamma=116.63
Element x y z (fractional)
Ag 0.000 0.500 0.000
Ag 0.500 0.000 0.000
Rh 0.000 0.000 0.500
Br 0.500 0.500 0.500

Excess energy over the best structure of this formula in the dataset ... 0.198 eV per atom
Symmetry ... No. 65

=====

[8]
Computed, not measured: a geometry-optimized Ag4RhBr structure at the PBE level of DFT.

Unit cell a=5.489 b=5.489 c=5.489 alpha=60.00 beta=60.00 gamma=60.00
Element x y z (fractional)
Ag 0.376 0.376 0.376
Ag 0.376 0.376 0.873
Ag 0.376 0.873 0.376
Ag 0.873 0.376 0.376
Rh 0.750 0.750 0.750
Br 0.000 0.000 0.000

Symmetry ... No. 216

=====

Formation energy from raw total energies in kJ/mol of formula units, matching the order above: 391; 155; 186; 132; -300; 166; 169; 266